No. 1
# Ag3Pd12Au (PBE, relaxed)
# N(E_F)	18.63	states/eV/cell
# uncorrected energy	-4.65	eV per atom
# symmetry	P4/mmm, No. 123
# formation energy from the elements	-0.5	kcal/mol of atoms
data_Ag3Pd12Au
_cell_length_a 3.9969
_cell_length_b 3.9969
_cell_length_c 15.9856
_cell_angle_alpha 90.00
_cell_angle_beta 90.00
_cell_angle_gamma 90.00
_symmetry_space_group_name_H-M 'P 1'
_symmetry_Int_Tables_number 1
_symmetry_space_group_name_Hall 'P 1'
loop_
_atom_site_label
_atom_site_fract_x
_atom_site_fract_y
_atom_site_fract_z
Ag1 0.0000 0.0000 0.2504
Ag2 0.0000 0.0000 0.5000
Ag3 0.0000 0.0000 0.7496
Pd1 0.5000 0.5000 0.0000
Pd2 0.5000 0.5000 0.2505
Pd3 0.5000 0.5000 0.5000
Pd4 0.5000 0.5000 0.7495
Pd5 0.5000 0.0000 0.1255
Pd6 0.5000 0.0000 0.3752
Pd7 0.5000 0.0000 0.6248
Pd8 0.5000 0.0000 0.8745
Pd9 0.0000 0.5000 0.1255
Pd10 0.0000 0.5000 0.3752
Pd11 0.0000 0.5000 0.6248
Pd12 0.0000 0.5000 0.8745
Au1 0.0000 0.0000 0.0000

***

No. 2
# LiB2Cl (PBE, relaxed)
# N(E_F)	4.56	states/eV/cell
# uncorrected energy	-2.44	eV per atom
# symmetry	Fm-3m, No. 225
# formation energy without anion corrections	1.84	eV/atom
data_LiB2Cl
_cell_length_a 4.3142
_cell_length_b 4.3142
_cell_length_c 4.3142
_cell_angle_alpha 60.00
_cell_angle_beta 60.00
_cell_angle_gamma 60.00
_symmetry_space_group_name_H-M 'P 1'
_symmetry_Int_Tables_number 1
_symmetry_space_group_name_Hall 'P 1'
loop_
_atom_site_label
_atom_site_fract_x
_atom_site_fract_y
_atom_site_fract_z
B1 0.2500 0.2500 0.2500
B2 0.7500 0.7500 0.7500
Li1 0.0000 0.0000 0.0000
Cl1 0.5000 0.5000 0.5000

***

No. 3
# Sm2CuPbS4 (PBE, relaxed)
# N(E_F)	5.30	states/eV/cell
# uncorrected energy	-5.53	eV per atom
# symmetry	Cmcm, No. 63
# formation energy without anion corrections	-1.31	eV/atom
data_Sm2CuPbS4
_cell_length_a 3.9342
_cell_length_b 6.9685
_cell_length_c 13.9707
_cell_angle_alpha 90.00
_cell_angle_beta 90.00
_cell_angle_gamma 106.40
_symmetry_space_group_name_H-M 'P 1'
_symmetry_Int_Tables_number 1
_symmetry_space_group_name_Hall 'P 1'
loop_
_atom_site_label
_atom_site_fract_x
_atom_site_fract_y
_atom_site_fract_z
Sm1 0.3689 0.7379 0.5612
Sm2 0.6311 0.2621 0.0612
Sm3 0.6311 0.2621 0.4388
Sm4 0.3689 0.7379 0.9388
Cu1 0.8391 0.6781 0.7500
Cu2 0.1609 0.3219 0.2500
Pb1 0.1176 0.2353 0.7500
Pb2 0.8824 0.7647 0.2500
S1 0.2744 0.5489 0.1203
S2 0.7256 0.4511 0.6203
S3 0.7256 0.4511 0.8797
S4 0.2744 0.5489 0.3797
S5 0.0000 0.0000 0.5000
S6 0.0000 0.0000 0.0000
S7 0.4410 0.8820 0.7500
S8 0.5590 0.1180 0.2500

***

No. 4
# PW (PBE, relaxed)
# N(E_F)	5.71	states/eV/cell
# uncorrected energy	-8.90	eV per atom
# symmetry	P4_2/mnm, No. 136
# formation energy from the elements	6.5	kcal/mol of atoms
data_PW
_cell_length_a 4.9402
_cell_length_b 4.9402
_cell_length_c 4.9960
_cell_angle_alpha 90.00
_cell_angle_beta 90.00
_cell_angle_gamma 90.00
_symmetry_space_group_name_H-M 'P 1'
_symmetry_Int_Tables_number 1
_symmetry_space_group_name_Hall 'P 1'
loop_
_atom_site_label
_atom_site_fract_x
_atom_site_fract_y
_atom_site_fract_z
P1 0.2107 0.7893 0.0000
P2 0.7107 0.7107 0.5000
P3 0.2893 0.2893 0.5000
P4 0.7893 0.2107 0.0000
W1 0.2942 0.2942 0.0000
W2 0.7942 0.2058 0.5000
W3 0.2058 0.7942 0.5000
W4 0.7058 0.7058 0.0000

***

No. 5
# CrCu2SiRu (PBE, relaxed)
# N(E_F)	3.67	states/eV/cell
# uncorrected energy	-5.19	eV per atom
# symmetry	P4/mmm, No. 123
# formation energy without anion corrections	1.31	eV/atom
data_CrCu2SiRu
_cell_length_a 4.6700
_cell_length_b 4.3833
_cell_length_c 4.6700
_cell_angle_alpha 90.00
_cell_angle_beta 90.00
_cell_angle_gamma 90.00
_symmetry_space_group_name_H-M 'P 1'
_symmetry_Int_Tables_number 1
_symmetry_space_group_name_Hall 'P 1'
loop_
_atom_site_label
_atom_site_fract_x
_atom_site_fract_y
_atom_site_fract_z
Ru1 0.0000 0.0000 0.0000
Si1 0.5000 0.5000 0.5000
Cu1 0.0000 0.0000 0.5000
Cu2 0.5000 0.0000 0.0000
Cr1 0.0000 0.5000 0.0000

***

No. 6
# KMgHg3 (PBE, relaxed)
# N(E_F)	3.26	states/eV/cell
# uncorrected energy	-0.40	eV per atom
# symmetry	Pm-3m, No. 221
# formation energy from the elements	7.3	kcal/mol of atoms
data_KMgHg3
_cell_length_a 6.3547
_cell_length_b 6.3547
_cell_length_c 6.3547
_cell_angle_alpha 90.00
_cell_angle_beta 90.00
_cell_angle_gamma 90.00
_symmetry_space_group_name_H-M 'P 1'
_symmetry_Int_Tables_number 1
_symmetry_space_group_name_Hall 'P 1'
loop_
_atom_site_label
_atom_site_fract_x
_atom_site_fract_y
_atom_site_fract_z
Mg1 0.5000 0.5000 0.5000
K1 0.0000 0.0000 0.0000
Hg1 0.0000 0.5000 0.0000
Hg2 0.0000 0.0000 0.5000
Hg3 0.5000 0.0000 0.0000

***

No. 7
# Ba8NO2 (PBE, relaxed)
# N(E_F)	10.06	states/eV/cell
# uncorrected energy	-4.04	eV per atom
# symmetry	C2/m, No. 12
# formation energy without anion corrections	-0.98	eV/atom
data_Ba8NO2
_cell_length_a 7.0084
_cell_length_b 8.7680
_cell_length_c 8.7680
_cell_angle_alpha 74.59
_cell_angle_beta 90.62
_cell_angle_gamma 90.62
_symmetry_space_group_name_H-M 'P 1'
_symmetry_Int_Tables_number 1
_symmetry_space_group_name_Hall 'P 1'
loop_
_atom_site_label
_atom_site_fract_x
_atom_site_fract_y
_atom_site_fract_z
Ba1 0.7902 0.0812 0.7202
Ba2 0.2098 0.2798 0.9188
Ba3 0.7224 0.1584 0.1584
Ba4 0.2776 0.8416 0.8416
Ba5 0.7902 0.7202 0.0812
Ba6 0.2098 0.9188 0.2798
Ba7 0.2825 0.3657 0.3657
Ba8 0.7175 0.6343 0.6343
N1 0.0000 0.0000 0.0000
O1 0.3607 0.1944 0.1944
O2 0.6393 0.8056 0.8056

***

No. 8
# Li2MgAu (PBE, relaxed)
# N(E_F)	1.66	states/eV/cell
# uncorrected energy	-2.52	eV per atom
# symmetry	P4/mmm, No. 123
# formation energy from the elements	-7.9	kcal/mol of atoms
data_Li2MgAu
_cell_length_a 3.4277
_cell_length_b 3.4277
_cell_length_c 5.8936
_cell_angle_alpha 90.00
_cell_angle_beta 90.00
_cell_angle_gamma 90.00
_symmetry_space_group_name_H-M 'P 1'
_symmetry_Int_Tables_number 1
_symmetry_space_group_name_Hall 'P 1'
loop_
_atom_site_label
_atom_site_fract_x
_atom_site_fract_y
_atom_site_fract_z
Mg1 0.5000 0.5000 0.2500
Au1 0.5000 0.5000 0.7500
Li1 0.0000 0.0000 0.9654
Li2 0.0000 0.0000 0.5346

***

No. 9
# CrW (PBE, relaxed)
# N(E_F)	1.79	states/eV/cell
# uncorrected energy	-10.12	eV per atom
# symmetry	Fm-3m, No. 225
# formation energy from the elements	26.9	kcal/mol of atoms
data_CrW
_cell_length_a 3.5290
_cell_length_b 3.5290
_cell_length_c 3.5290
_cell_angle_alpha 60.00
_cell_angle_beta 60.00
_cell_angle_gamma 60.00
_symmetry_space_group_name_H-M 'P 1'
_symmetry_Int_Tables_number 1
_symmetry_space_group_name_Hall 'P 1'
loop_
_atom_site_label
_atom_site_fract_x
_atom_site_fract_y
_atom_site_fract_z
Cr1 0.0000 0.0000 0.0000
W1 0.5000 0.5000 0.5000

***

No. 10
# MnTe2W (PBE, relaxed)
# N(E_F)	3.04	states/eV/cell
# uncorrected energy	-6.61	eV per atom
# symmetry	P4/mmm, No. 123
# formation energy without anion corrections	0.49	eV/atom
data_MnTe2W
_cell_length_a 3.3654
_cell_length_b 3.3654
_cell_length_c 6.8268
_cell_angle_alpha 90.00
_cell_angle_beta 90.00
_cell_angle_gamma 90.00
_symmetry_space_group_name_H-M 'P 1'
_symmetry_Int_Tables_number 1
_symmetry_space_group_name_Hall 'P 1'
loop_
_atom_site_label
_atom_site_fract_x
_atom_site_fract_y
_atom_site_fract_z
Mn1 0.5000 0.5000 0.7500
Te1 0.0000 0.0000 0.0069
Te2 0.0000 0.0000 0.4931
W1 0.5000 0.5000 0.2500

***

No. 11
# Ti8Al2Tc (PBE, relaxed)
# N(E_F)	13.46	states/eV/cell
# uncorrected energy	-7.59	eV per atom
# symmetry	Immm, No. 71
# formation energy from the elements	-5.1	kcal/mol of atoms
data_Ti8Al2Tc
_cell_length_a 4.5850
_cell_length_b 6.0986
_cell_length_c 7.6515
_cell_angle_alpha 113.48
_cell_angle_beta 107.43
_cell_angle_gamma 90.00
_symmetry_space_group_name_H-M 'P 1'
_symmetry_Int_Tables_number 1
_symmetry_space_group_name_Hall 'P 1'
loop_
_atom_site_label
_atom_site_fract_x
_atom_site_fract_y
_atom_site_fract_z
Ti1 0.3633 0.5933 0.7265
Ti2 0.6368 0.8671 0.2736
Ti3 0.8240 0.8237 0.6479
Ti4 0.0000 0.2633 0.0000
Ti5 0.1760 0.1763 0.3521
Ti6 0.3632 0.1329 0.7264
Ti7 0.6367 0.4067 0.2735
Ti8 0.0000 0.7367 0.0000
Al1 0.8120 0.3119 0.6239
Al2 0.1880 0.6881 0.3761
Tc1 0.5000 0.0000 0.0000

***

No. 12
# TaFeNi2 (PBE, relaxed)
# N(E_F)	3.37	states/eV/cell
# uncorrected energy	-7.82	eV per atom
# symmetry	R3m, No. 160
# formation energy from the elements	3.5	kcal/mol of atoms
data_TaFeNi2
_cell_length_a 8.6424
_cell_length_b 8.6424
_cell_length_c 8.6424
_cell_angle_alpha 17.85
_cell_angle_beta 17.85
_cell_angle_gamma 17.85
_symmetry_space_group_name_H-M 'P 1'
_symmetry_Int_Tables_number 1
_symmetry_space_group_name_Hall 'P 1'
loop_
_atom_site_label
_atom_site_fract_x
_atom_site_fract_y
_atom_site_fract_z
Fe1 0.7429 0.7429 0.7429
Ni1 0.0005 0.0005 0.0005
Ni2 0.2547 0.2547 0.2547
Ta1 0.5020 0.5020 0.5020

***

Calculated values (μB/atom) of spin magnetization for the records, taken in order: 0.00, 0.00, 0.00, 0.00, 0.54, 0.00, 0.01, 0.00, 0.42, 0.86, 0.00, 0.72.